Compound: In2FeCl
Source: the Alexandria database
Functional: GGA-PBE
Structure: optimized geometry

Cell: 6.400 6.400 6.400 Å, 142.69 142.69 53.78°
Positions (direct):
In 0.000 0.000 0.000
In 0.750 0.250 0.500
Fe 0.500 0.500 0.000
Cl 0.250 0.750 0.500

magnetization: 3.0 μB/cell
distance to the lowest polymorph of the same formula: 378 meV/atom
crystal system: tetragonal
energy relative to the elements, uncorrected: 0.29 eV per atom
D(E_F): 2.45 states/eV per cell